(1)
DFT (PBE-GGA) results for crystalline Ca4ZnCd2 at its relaxed geometry.

The structure in POSCAR format:
```
Ca4ZnCd2
1.0
5.132 0.000 1.603
2.316 4.580 1.603
-0.048 -0.029 9.168
Ca Zn Cd
4 1 2
Direct
0.876 0.876 0.371
0.124 0.124 0.629
0.625 0.625 0.124
0.375 0.375 0.876
0.000 0.000 0.000
0.749 0.749 0.753
0.251 0.251 0.247
```

Values from the calculation:
SG	R-3m
ΔE_f	-1.54	eV per formula unit

***

(2)
DFT (PBE-GGA) results for crystalline TlTe2W at its relaxed geometry.

The structure in POSCAR format:
```
TlTe2W
1.0
-2.882 1.459 0.419
-0.103 -3.226 -0.439
0.808 -1.485 10.725
Te Tl W
2 1 1
Direct
0.000 0.000 0.948
0.000 0.000 0.552
0.500 0.500 0.250
0.500 0.500 0.750
```

Values from the calculation:
polymorph energy (0 for the lowest one)	0.399	eV/atom
raw formation energy	0.5052	eV/atom
SG	Cmmm

***

(3)
DFT (PBE-GGA) results for crystalline Pr2TlHg6 at its relaxed geometry.

The structure in POSCAR format:
```
Pr2TlHg6
1.0
0.509 2.273 5.780
4.899 -7.024 2.331
1.096 5.549 -2.478
Pr Tl Hg
2 1 6
Direct
0.677 0.678 0.356
0.323 0.322 0.644
0.000 0.000 0.000
0.167 0.498 0.329
0.833 0.170 0.671
0.833 0.502 0.671
0.500 0.168 0.000
0.167 0.830 0.329
0.500 0.832 0.000
```

Values from the calculation:
polymorph energy (0 for the lowest one)	0.000	eV/atom
SG	C2/m
ΔE_f	-2.80	eV per formula unit

***

(4)
DFT (PBE-GGA) results for crystalline SbPt3W at its relaxed geometry.

The structure in POSCAR format:
```
SbPt3W
1.0
-2.181 3.105 3.052
-3.040 -3.530 1.419
3.117 -1.270 3.519
Sb W Pt
1 1 3
Direct
0.000 0.000 0.000
0.500 0.500 0.500
0.000 0.500 0.000
0.000 0.000 0.500
0.500 0.000 0.000
```

Values from the calculation:
polymorph energy (0 for the lowest one)	0.545	eV/atom
raw formation energy	1.4951	eV/atom
SG	Pm-3m

***

(5)
DFT (PBE-GGA) results for crystalline NiPtCl2 at its relaxed geometry.

The structure in POSCAR format:
```
NiPtCl2
1.0
3.123 0.000 0.000
0.000 6.112 0.000
0.000 0.000 3.793
Ni Pt Cl
1 1 2
Direct
0.500 0.000 0.500
0.000 0.500 0.500
0.000 0.000 0.000
0.500 0.500 0.000
```

Values from the calculation:
polymorph energy (0 for the lowest one)	0.556	eV/atom
raw formation energy	0.3366	eV/atom
SG	Pmmm

***

(6)
DFT (PBE-GGA) results for crystalline Ac6Tl5Te at its relaxed geometry.

The structure in POSCAR format:
```
Ac6Tl5Te
1.0
5.486 -0.003 -1.537
-4.095 8.233 -4.083
-0.152 -0.998 10.010
Ac Te Tl
6 1 5
Direct
0.244 0.083 0.406
0.756 0.594 0.917
0.744 0.244 0.244
0.256 0.756 0.756
0.244 0.406 0.083
0.756 0.917 0.594
0.000 0.000 0.000
0.500 0.179 0.821
0.000 0.334 0.666
0.500 0.500 0.500
0.000 0.666 0.334
0.500 0.821 0.179
```

Values from the calculation:
polymorph energy (0 for the lowest one)	0.002	eV/atom
raw formation energy	-0.4921	eV/atom
SG	Immm

***

(7)
DFT (PBE-GGA) results for crystalline MgPbS2 at its relaxed geometry.

The structure in POSCAR format:
```
MgPbS2
1.0
3.879 0.000 0.000
1.940 3.359 0.000
1.940 1.120 6.839
Mg Pb S
1 1 2
Direct
0.669 0.669 0.994
0.500 0.500 0.501
0.069 0.069 0.793
0.263 0.263 0.212
```

Values from the calculation:
raw formation energy	-0.8826	eV/atom
SG	R3m

***

(8)
DFT (PBE-GGA) results for crystalline Ac6AgPt2Rh at its relaxed geometry.

The structure in POSCAR format:
```
Ac6AgPt2Rh
1.0
7.707 0.002 0.001
3.855 6.677 -0.002
3.855 2.224 7.104
Ac Ag Pt Rh
6 1 2 1
Direct
0.588 0.252 0.240
0.252 0.921 0.239
0.921 0.588 0.239
0.393 0.730 0.759
0.730 0.118 0.758
0.118 0.394 0.759
0.824 0.824 0.528
0.508 0.508 0.477
0.002 0.002 0.995
0.326 0.326 0.022
```

Values from the calculation:
SG	R3
ΔE_f	-6.57	eV per formula unit

***

(9)
DFT (PBE-GGA) results for crystalline Ba2CaZrCr at its relaxed geometry.

The structure in POSCAR format:
```
Ba2CaZrCr
1.0
-4.509 2.982 3.331
0.837 -3.251 4.044
4.355 4.000 2.314
Cr Ca Ba Zr
1 1 2 1
Direct
0.500 0.500 0.500
0.000 0.000 0.000
0.000 0.000 0.500
0.500 0.000 0.000
0.000 0.500 0.000
```

Values from the calculation:
SG	P4/mmm
ΔE_f	7.13	eV per formula unit

***

(10)
DFT (PBE-GGA) results for crystalline GaC3 at its relaxed geometry.

The structure in POSCAR format:
```
GaC3
1.0
-2.454 2.236 0.188
-1.935 -2.250 1.501
1.137 0.999 2.961
C Ga
3 1
Direct
0.000 0.500 0.500
0.500 0.000 0.500
0.500 0.500 0.000
0.000 0.000 0.000
```

Values from the calculation:
SG	Pm-3m
ΔE_f	12.85	eV per formula unit

***

Number 1: spin magnetization 0.0000 μB per atom. Number 2: spin magnetization 0.0000 μB per atom. Number 3: spin magnetization 0.0000 μB per atom. Number 4: spin magnetization 0.6839 μB per atom. Number 5: spin magnetization 0.3128 μB per atom. Number 6: spin magnetization 0.0000 μB per atom. Number 7: spin magnetization 0.0000 μB per atom. Number 8: spin magnetization 0.0000 μB per atom. Number 9: spin magnetization 0.9621 μB per atom. Number 10: spin magnetization 0.0000 μB per atom.